# 1
A plane-wave DFT calculation with PBE was carried out for ReRu2Se after structural relaxation.

Values from the calculation:
symmetry: C2/m (12)
uncorrected formation energy: 0.374 eV/atom
V: 59.94 Å³/cell
offset from the most stable computed form: 195.2 meV/atom

Cell lengths 4.7719, 4.7719, 4.6048 Å; angles 92.58, 92.58, 34.91 degrees
Fractional coordinates of all 4 atoms:
Re 0.0000 0.0000 0.0000
Ru 0.2707 0.2707 0.7653
Ru 0.7293 0.7293 0.2347
Se 0.5000 0.5000 0.5000

---

# 2
A plane-wave DFT calculation with PBE was carried out for ReSnRuSe2 after structural relaxation.

Values from the calculation:
symmetry: P4/mmm (123)
uncorrected formation energy: 0.776 eV/atom
V: 113.90 Å³/cell

Cell lengths 4.8318, 4.8318, 4.8785 Å; angles 90.00, 90.00, 90.00 degrees
Fractional coordinates of all 5 atoms:
Re 0.0000 0.0000 0.0000
Sn 0.5000 0.5000 0.5000
Ru 0.0000 0.0000 0.5000
Se 0.0000 0.5000 0.0000
Se 0.5000 0.0000 0.0000

---

# 3
A plane-wave DFT calculation with PBE was carried out for TlReRuSe2 after structural relaxation.

Values from the calculation:
symmetry: P4/mmm (123)
uncorrected formation energy: 2.566 eV/atom
V: 129.19 Å³/cell

Cell lengths 5.0875, 5.0875, 4.9913 Å; angles 90.00, 90.00, 90.00 degrees
Fractional coordinates of all 5 atoms:
Tl 0.0000 0.0000 0.0000
Re 0.5000 0.5000 0.5000
Ru 0.0000 0.0000 0.5000
Se 0.0000 0.5000 0.0000
Se 0.5000 0.0000 0.0000

---

# 4
A plane-wave DFT calculation with PBE was carried out for Re2SiRu after structural relaxation.

Values from the calculation:
symmetry: P2/m (10)
uncorrected formation energy: 0.010 eV/atom
V: 56.61 Å³/cell

Cell lengths 2.7671, 4.0075, 5.2171 Å; angles 90.00, 101.92, 90.00 degrees
Fractional coordinates of all 4 atoms:
Re 0.0858 0.0000 0.2613
Re 0.9142 0.0000 0.7387
Si 0.5000 0.5000 0.5000
Ru 0.5000 0.5000 0.0000

---

# 5
A plane-wave DFT calculation with PBE was carried out for ReSiRu2 after structural relaxation.

Values from the calculation:
symmetry: P4/mmm (123)
uncorrected formation energy: 0.083 eV/atom
V: 55.99 Å³/cell

Cell lengths 4.4346, 4.4346, 2.8471 Å; angles 90.00, 90.00, 90.00 degrees
Fractional coordinates of all 4 atoms:
Re 0.0000 0.0000 0.0000
Si 0.5000 0.5000 0.0000
Ru 0.0000 0.5000 0.5000
Ru 0.5000 0.0000 0.5000

---

# 6
A plane-wave DFT calculation with PBE was carried out for ReSi2Ru3 after structural relaxation.

Values from the calculation:
symmetry: P4/mmm (123)
uncorrected formation energy: -0.432 eV/atom
V: 79.16 Å³/cell

Cell lengths 2.8713, 2.8713, 9.6022 Å; angles 90.00, 90.00, 90.00 degrees
Fractional coordinates of all 6 atoms:
Re 0.0000 0.0000 0.0000
Si 0.0000 0.0000 0.3436
Si 0.0000 0.0000 0.6564
Ru 0.5000 0.5000 0.1935
Ru 0.5000 0.5000 0.5000
Ru 0.5000 0.5000 0.8065

---

# 7
A plane-wave DFT calculation with PBE was carried out for Re2SiRu after structural relaxation.

Values from the calculation:
symmetry: P4mm (99)
uncorrected formation energy: -0.199 eV/atom
V: 55.31 Å³/cell

Cell lengths 2.8783, 2.8783, 6.6757 Å; angles 90.00, 90.00, 90.00 degrees
Fractional coordinates of all 4 atoms:
Re 0.0000 0.0000 0.0000
Re 0.5000 0.5000 0.2693
Si 0.5000 0.5000 0.7639
Ru 0.0000 0.0000 0.5518

---

# 8
A plane-wave DFT calculation with PBE was carried out for ReSiRu2 after structural relaxation.

Values from the calculation:
symmetry: Pmmm (47)
uncorrected formation energy: -0.105 eV/atom
V: 55.36 Å³/cell

Cell lengths 2.7841, 3.7341, 5.3253 Å; angles 90.00, 90.00, 90.00 degrees
Fractional coordinates of all 4 atoms:
Re 0.0000 0.0000 0.0000
Si 0.0000 0.0000 0.5000
Ru 0.5000 0.5000 0.2548
Ru 0.5000 0.5000 0.7452

---

# 9
A plane-wave DFT calculation with PBE was carried out for Re2SiRu after structural relaxation.

Values from the calculation:
symmetry: P4/mmm (123)
uncorrected formation energy: -0.104 eV/atom
V: 55.39 Å³/cell

Cell lengths 2.8886, 2.8886, 6.6380 Å; angles 90.00, 90.00, 90.00 degrees
Fractional coordinates of all 4 atoms:
Re 0.0000 0.0000 0.2278
Re 0.0000 0.0000 0.7722
Si 0.5000 0.5000 0.0000
Ru 0.5000 0.5000 0.5000

---

# 10
A plane-wave DFT calculation with PBE was carried out for ReSiRu2 after structural relaxation.

Values from the calculation:
symmetry: R-3m (166)
uncorrected formation energy: -0.133 eV/atom
V: 55.37 Å³/cell

Cell lengths 8.5287, 8.5287, 8.5287 Å; angles 18.64, 18.64, 18.64 degrees
Fractional coordinates of all 4 atoms:
Re 0.0000 0.0000 0.0000
Si 0.5000 0.5000 0.5000
Ru 0.2453 0.2453 0.2453
Ru 0.7547 0.7547 0.7547

---

# 11
A plane-wave DFT calculation with PBE was carried out for ReSiRu2 after structural relaxation.

Values from the calculation:
symmetry: P4/mmm (123)
uncorrected formation energy: 0.120 eV/atom
V: 55.68 Å³/cell

Cell lengths 3.9567, 3.9567, 3.5565 Å; angles 90.00, 90.00, 90.00 degrees
Fractional coordinates of all 4 atoms:
Re 0.0000 0.0000 0.0000
Si 0.5000 0.5000 0.0000
Ru 0.0000 0.5000 0.5000
Ru 0.5000 0.0000 0.5000

---

# 12
A plane-wave DFT calculation with PBE was carried out for ReSiRu2 after structural relaxation.

Values from the calculation:
symmetry: P4/mmm (123)
uncorrected formation energy: -0.326 eV/atom
V: 53.93 Å³/cell

Cell lengths 2.8415, 2.8415, 6.6798 Å; angles 90.00, 90.00, 90.00 degrees
Fractional coordinates of all 4 atoms:
Re 0.0000 0.0000 0.0000
Si 0.0000 0.0000 0.5000
Ru 0.5000 0.5000 0.2790
Ru 0.5000 0.5000 0.7210

---

# 13
A plane-wave DFT calculation with PBE was carried out for Re2SiRu after structural relaxation.

Values from the calculation:
symmetry: Immm (71)
uncorrected formation energy: -0.127 eV/atom
V: 56.12 Å³/cell

Cell lengths 5.1228, 5.1228, 5.1228 Å; angles 146.91, 129.45, 61.76 degrees
Fractional coordinates of all 4 atoms:
Re 0.2269 0.2269 0.0000
Re 0.7731 0.7731 0.0000
Si 0.0000 0.5000 0.5000
Ru 0.5000 0.0000 0.5000

---

# 14
A plane-wave DFT calculation with PBE was carried out for Re2SiRu after structural relaxation.

Values from the calculation:
symmetry: Pmm2 (25)
uncorrected formation energy: -0.042 eV/atom
V: 57.41 Å³/cell

Cell lengths 2.8091, 3.8887, 5.2559 Å; angles 90.00, 90.00, 90.00 degrees
Fractional coordinates of all 4 atoms:
Re 0.0000 0.0000 0.0000
Re 0.5000 0.5000 0.2095
Si 0.5000 0.5000 0.7147
Ru 0.0000 0.0000 0.5278

---

# 15
A plane-wave DFT calculation with PBE was carried out for Re2SiRu after structural relaxation.

Values from the calculation:
symmetry: F-43m (216)
uncorrected formation energy: 0.096 eV/atom
V: 56.57 Å³/cell

Cell lengths 4.3090, 4.3090, 4.3090 Å; angles 60.00, 60.00, 60.00 degrees
Fractional coordinates of all 4 atoms:
Re 0.0000 0.0000 0.0000
Re 0.2500 0.2500 0.2500
Si 0.5000 0.5000 0.5000
Ru 0.7500 0.7500 0.7500